w:
# Fe3WC

A relaxed Fe3WC crystal (PBE, Alexandria).

- Symmetry: No. 221

abc: 3.759 3.759 3.759
angles: 90.00 90.00 90.00
Element x y z (fractional)
1 Fe 0.000 0.500 0.000
2 Fe 0.500 0.000 0.000
3 Fe 0.000 0.000 0.500
4 W 0.500 0.500 0.500
5 C 0.000 0.000 0.000

=====

x:
# Fe3WC

A relaxed Fe3WC crystal (PBE, Alexandria).

- Symmetry: No. 221

abc: 4.486 4.486 4.486
angles: 90.00 90.00 90.00
Last column: magnetic moment on the atom in μB.
Element x y z (fractional)
1 C 0.500 0.500 0.500  -0.22
2 Fe 0.000 0.500 0.000  1.98
3 Fe 0.500 0.000 0.000  1.70
4 Fe 0.000 0.000 0.500  2.07
5 W 0.000 0.000 0.000  -0.65

=====

It is x that is the least stable of them.

=====

w:
# YFe2C2

A relaxed YFe2C2 crystal (PBE, Alexandria).

- Symmetry: No. 70

abc: 5.154 5.154 5.401
angles: 108.43 108.43 109.71
Element x y z (fractional)
1 C 0.562 0.938 0.750
2 C 0.812 0.688 0.250
3 C 0.438 0.062 0.250
4 C 0.188 0.312 0.750
5 Fe 0.491 0.741 0.983
6 Fe 0.759 0.009 0.517
7 Fe 0.509 0.259 0.017
8 Fe 0.241 0.991 0.483
9 Y 0.875 0.625 0.750
10 Y 0.125 0.375 0.250

=====

x:
# YFe2C2

A relaxed YFe2C2 crystal (PBE, Alexandria).

- Symmetry: No. 139

abc: 3.457 3.457 5.364
angles: 108.80 108.80 90.00
Element x y z (fractional)
1 Fe 0.750 0.250 0.500
2 Fe 0.250 0.750 0.500
3 C 0.659 0.659 0.319
4 C 0.341 0.341 0.681
5 Y 0.000 0.000 0.000

=====

It is x that is the least stable of them.